Below is an optimized crystal structure of Tm2CoSbO6, with properties calculated at the PBE with a Hubbard U level.

The structure belongs to space group P1 (No. 1); the cell edges are 5.570, 5.578 and 5.847 Å and the angles 61.58°, 89.92° and 60.13°. The asymmetric unit holds Tm at (0.000, 0.000, 0.000), Tm at (0.500, 0.001, 0.496), Co at (0.785, 0.426, 0.361), Sb at (0.287, 0.427, 0.860), O at (0.087, 0.507, 0.164), O at (0.174, 0.917, 0.665), O at (0.407, 0.924, 0.161), O at (0.586, 0.242, 0.665), O at (0.670, 0.246, 0.161) and O at (0.908, 0.508, 0.665).

For the magnetic moment, the calculation gives 2.34 μB per cell. As for the volume: 132 Å³/cell. As for the total DFT energy (no corrections): -7.13 eV per atom.